[1]
# CaHgCl2

CaHgCl2 at its PBEsol-relaxed geometry (SCAN, Alexandria via LeMat-Bulk).

Structure (CIF):
```
data_CaHgCl2
_cell_length_a 7.193
_cell_length_b 7.193
_cell_length_c 7.193
_cell_angle_alpha 90.00
_cell_angle_beta 90.00
_cell_angle_gamma 90.00
_symmetry_space_group_name_H-M 'F -4 3 m'
_symmetry_Int_Tables_number 216
_symmetry_space_group_name_Hall 'F -4 2 3'
loop_
_atom_site_label
_atom_site_type_symbol
_atom_site_fract_x
_atom_site_fract_y
_atom_site_fract_z
Ca1 Ca 0.000 0.000 0.000
Hg1 Hg 0.250 0.250 0.750
Cl1 Cl 0.000 0.000 0.500
Cl2 Cl 0.250 0.250 0.250
```

---

[2]
# CaHgCl2

CaHgCl2 at its PBEsol-relaxed geometry (SCAN, Alexandria via LeMat-Bulk).

Structure (CIF):
```
data_CaHgCl2
_cell_length_a 6.924
_cell_length_b 3.999
_cell_length_c 9.307
_cell_angle_alpha 90.00
_cell_angle_beta 104.10
_cell_angle_gamma 90.00
_symmetry_space_group_name_H-M 'C 1 2/m 1'
_symmetry_Int_Tables_number 12
_symmetry_space_group_name_Hall '-C 2y'
loop_
_atom_site_label
_atom_site_type_symbol
_atom_site_fract_x
_atom_site_fract_y
_atom_site_fract_z
Ca1 Ca 0.000 0.000 0.000
Hg1 Hg 0.000 0.500 0.500
Cl1 Cl 0.218 0.500 0.158
```

---

[3]
# CaHgPCl2

CaHgPCl2 at its PBEsol-relaxed geometry (SCAN, Alexandria via LeMat-Bulk).

Structure (CIF):
```
data_CaHgPCl2
_cell_length_a 5.107
_cell_length_b 5.107
_cell_length_c 5.864
_cell_angle_alpha 90.00
_cell_angle_beta 90.00
_cell_angle_gamma 90.00
_symmetry_space_group_name_H-M 'P 4/m m m'
_symmetry_Int_Tables_number 123
_symmetry_space_group_name_Hall '-P 4 2'
loop_
_atom_site_label
_atom_site_type_symbol
_atom_site_fract_x
_atom_site_fract_y
_atom_site_fract_z
Ca1 Ca 0.000 0.000 0.000
Hg1 Hg 0.500 0.500 0.500
P1 P 0.000 0.000 0.500
Cl1 Cl 0.000 0.500 0.000
```

---

Per-record DOS at the Fermi energy, states/eV per cell: 0.000; 0.000; 2.311
Per-record raw formation energy, eV per atom: -1.374; -1.924; -0.680